Material: Ti2HgAuF
Method: DFT, PBE-GGA
State: relaxed

a b c (Å): 5.079 5.213 5.079
angles (deg): 90.00 90.00 90.00
Each line ends with the local moment (μB).
Sites, in units of the cell vectors:
1 F 0.500 0.500 0.500  0.01
2 Au 0.000 0.000 0.000  0.01
3 Hg 0.000 0.500 0.000  0.00
4 Ti 0.000 0.000 0.500  1.06
5 Ti 0.500 0.000 0.000  1.50

**Crystal system**: tetragonal
**Symmetry**: P4/mmm (123)
**Total DFT energy (no corrections)**: -3.8631 eV/atom